Entry from the Alexandria database: a crystal of ZrNiCl2 relaxed with PBEsol (SCAN).

## Properties
Distance to the lowest polymorph of the same formula, kJ/mol of atoms: 0.00
Total moment, Bohr magnetons per cell: 0.00
DOS(E_F), states/eV per cell: 0.3
Crystal system: orthorhombic
Raw formation energy, eV/atom: -0.9490

The structure in POSCAR format:
```
ZrNiCl2
1.0
-2.3930 -0.2571 2.1252
-1.8628 -1.3332 -2.2498
2.4400 -6.6817 1.9391
Cl Zr Ni
2 1 1
Cartesian
-0.5478 -5.1220 1.1934
0.1534 -0.4200 0.1219
-1.3849 -2.8296 0.5281
1.1836 -3.2412 0.9406
```

=====

Entry from the Alexandria database: a crystal of NaSrGaF6 relaxed with PBEsol (SCAN).

## Properties
Total moment, Bohr magnetons per cell: 0.59
DOS(E_F), states/eV per cell: 0.0
Crystal system: orthorhombic
Raw formation energy, eV/atom: -3.3478

The structure in POSCAR format:
```
NaSrGaF6
1.0
5.3493 0.0000 0.0000
0.0000 9.2017 0.0000
0.0000 0.0000 10.3130
Na F Sr Ga
4 24 4 4
Cartesian
0.2216 5.9653 0.9062
2.4530 3.2364 6.0627
2.8963 7.8373 9.4068
5.1277 1.3644 4.2503
3.4126 1.4253 7.1577
1.5833 7.8882 0.8939
1.2150 1.4615 0.4339
0.7067 4.5025 5.4799
1.2839 0.3198 2.8751
1.3907 8.8819 8.0316
4.1343 6.0623 4.7226
4.0654 4.9206 2.2814
1.9367 6.0261 8.3118
4.6113 7.7764 2.0012
3.8896 3.1394 9.8791
0.7380 3.1756 3.1553
4.2909 1.1609 2.0678
1.9680 4.6992 0.3234
3.7330 8.0408 7.2243
3.3813 0.0983 4.8331
4.2579 5.9144 9.4191
1.0584 5.7618 3.0887
3.9586 4.2811 7.4379
1.0914 1.3135 6.0504
3.7660 3.2873 4.2626
1.6163 3.4399 8.2452
4.6426 9.1034 9.9896
1.4597 7.7402 5.5904
0.0295 1.6876 8.4856
2.6451 7.5141 3.3291
2.7042 2.9132 1.8274
5.3198 6.2885 6.9839
0.2660 0.0330 1.2891
5.0833 4.6338 3.8674
2.4087 9.1688 6.4456
2.9406 4.5679 9.0239
```

=====

Entry from the Alexandria database: a crystal of MnMoSe2 relaxed with PBEsol (SCAN).

## Properties
Distance to the lowest polymorph of the same formula, kJ/mol of atoms: 23.14
Total moment, Bohr magnetons per cell: 3.13
DOS(E_F), states/eV per cell: 1.3
Crystal system: monoclinic
Raw formation energy, eV/atom: -0.1584

The structure in POSCAR format:
```
MnMoSe2
1.0
-1.8454 1.6554 -2.0242
1.3455 -3.9424 -1.9205
-3.8627 -1.3835 2.3901
Se Mn Mo
2 1 1
Cartesian
-2.2541 -2.4085 0.0852
-0.2230 -0.1160 0.1084
-3.1619 -0.0748 0.2912
-1.5778 -0.9352 -1.8566
```

=====

Entry from the Alexandria database: a crystal of Ca4YCu relaxed with PBEsol (SCAN).

## Properties
Formation energy from the elements, meV/atom: 652
Total moment, Bohr magnetons per cell: 1.57
DOS(E_F), states/eV per cell: 8.0
Crystal system: cubic

The structure in POSCAR format:
```
Ca4YCu
1.0
-5.5906 -0.2749 -3.5831
-1.4400 -5.4647 -3.4975
-4.9849 -3.9550 1.9176
Ca Y Cu
4 1 1
Cartesian
-7.3026 -3.7716 -3.7290
-5.2249 -6.3696 -3.6862
-4.5040 -3.6340 -1.9354
-6.9994 -5.6139 -0.9754
0.0000 0.0000 0.0000
-9.0116 -7.2709 -3.8723
```

=====

Entry from the Alexandria database: a crystal of Nb2Ni3Ge relaxed with PBEsol (SCAN).

## Properties
Formation energy from the elements, meV/atom: -420
Total moment, Bohr magnetons per cell: 6.10
DOS(E_F), states/eV per cell: 7.4
Crystal system: hexagonal

The structure in POSCAR format:
```
Nb2Ni3Ge
1.0
-1.4239 3.1359 -3.4108
3.3643 -3.3350 -1.0265
-5.5336 -4.9052 -2.1997
Ni Nb Ge
6 4 2
Cartesian
-3.1172 -3.2735 -5.1525
-4.0619 -3.1765 -2.9923
0.4687 -1.9278 -3.6447
-4.7550 -1.6500 -4.6527
-0.4759 -1.8309 -1.4846
1.1618 -3.4544 -1.9843
-1.3325 -3.9267 -3.0539
-3.4314 -5.7873 -3.8883
-0.1617 0.6829 -2.7488
-2.2607 -1.1777 -3.5832
-2.7668 -2.4526 -1.0999
0.0000 0.0000 0.0000
```

=====

Entry from the Alexandria database: a crystal of Zr2RuPb relaxed with PBEsol (SCAN).

## Properties
Formation energy from the elements, meV/atom: -270
Total moment, Bohr magnetons per cell: 0.00
DOS(E_F), states/eV per cell: 5.0
Crystal system: tetragonal

The structure in POSCAR format:
```
Zr2RuPb
1.0
4.0380 0.0000 0.0000
0.0000 4.3780 0.0000
0.0000 0.0000 4.3763
Ru Zr Pb
1 2 1
Cartesian
2.0190 0.0000 2.1882
0.0000 0.0000 0.0000
0.0000 2.1890 2.1882
2.0190 2.1890 0.0000
```

=====

Entry from the Alexandria database: a crystal of Ba3LiCo relaxed with PBEsol (SCAN).

## Properties
Formation energy from the elements, meV/atom: 881
Total moment, Bohr magnetons per cell: 1.55
DOS(E_F), states/eV per cell: 7.7
Crystal system: cubic

The structure in POSCAR format:
```
Ba3LiCo
1.0
-3.8440 -3.8952 -2.4414
4.0588 -4.3700 0.5815
-2.1584 -1.2806 5.4416
Li Ba Co
1 3 1
Cartesian
0.0000 0.0000 0.0000
-1.9220 -1.9476 -1.2207
2.0294 -2.1850 0.2908
-1.0792 -0.6403 2.7208
-0.9718 -4.7729 1.7908
```

=====

Entry from the Alexandria database: a crystal of ZnFeTe2 relaxed with PBEsol (SCAN).

## Properties
Total moment, Bohr magnetons per cell: 0.32
DOS(E_F), states/eV per cell: 2.2
Crystal system: trigonal
Raw formation energy, eV/atom: 0.1814

The structure in POSCAR format:
```
ZnFeTe2
1.0
-2.1745 -1.5814 -2.5665
0.5629 -3.5388 -0.9881
-5.4616 -4.0597 4.4371
Te Zn Fe
2 1 1
Cartesian
-3.2496 -5.9029 -1.6846
-3.8236 -3.2770 2.5671
0.0000 0.0000 0.0000
-3.5366 -4.5900 0.4412
```

=====

Entry from the Alexandria database: a crystal of Ca2CrN3 relaxed with PBEsol (SCAN).

## Properties
Total moment, Bohr magnetons per cell: 2.31
DOS(E_F), states/eV per cell: 7.1
Crystal system: orthorhombic
Raw formation energy, eV/atom: -1.1675

The structure in POSCAR format:
```
Ca2CrN3
1.0
5.4112 0.0000 0.0000
-2.7056 5.1691 0.0000
0.0000 0.0000 11.5386
N Ca Cr
12 8 4
Cartesian
2.7056 3.5603 0.4254
2.7056 4.3278 7.3012
0.0000 4.3278 10.0066
0.0000 1.6087 11.1132
4.0584 2.1838 8.6539
2.7056 1.6087 6.1946
1.3528 2.1838 8.6539
0.0000 3.5603 5.3439
0.0000 0.8413 4.2373
-1.3528 2.9852 2.8846
1.3528 2.9852 2.8846
2.7056 0.8413 1.5320
2.7056 3.7032 4.8498
0.0000 1.4658 6.6888
0.0000 0.5156 1.6458
2.7056 1.4658 10.6191
0.0000 4.6534 7.4151
2.7056 4.6534 9.8928
0.0000 3.7032 0.9195
2.7056 0.5156 4.1235
2.7056 2.6318 7.6172
2.7056 2.5373 1.8479
0.0000 2.5373 3.9214
0.0000 2.6318 9.6907
```

=====

Entry from the Alexandria database: a crystal of Na2BIr relaxed with PBEsol (SCAN).

## Properties
Formation energy from the elements, meV/atom: 413
Total moment, Bohr magnetons per cell: 0.00
DOS(E_F), states/eV per cell: 2.6
Crystal system: tetragonal

The structure in POSCAR format:
```
Na2BIr
1.0
3.9253 0.0000 0.0000
1.9626 6.9617 0.0000
1.9626 0.0000 6.9617
B Ir Na
2 2 4
Cartesian
1.9626 0.0000 0.0000
2.9440 3.4808 3.4808
0.0000 0.0000 0.0000
4.9066 3.4808 3.4808
6.3786 5.7584 4.6841
3.4346 2.2775 5.7584
3.4346 4.6841 1.2033
2.4533 1.2033 2.2775
```

=====

Entry from the Alexandria database: a crystal of BaTcHOs2 relaxed with PBEsol (SCAN).

## Properties
Total moment, Bohr magnetons per cell: 2.63
DOS(E_F), states/eV per cell: 3.8
Crystal system: tetragonal
DFT total energy, eV/atom: -41.6163

The structure in POSCAR format:
```
BaTcHOs2
1.0
3.2695 0.0000 0.0000
0.0000 5.0495 0.0000
0.0000 0.0000 5.0495
Os H Tc Ba
2 1 1 1
Cartesian
0.0000 2.5247 0.0000
0.0000 0.0000 2.5247
1.6348 0.0000 0.0000
1.6348 2.5247 2.5247
0.0000 0.0000 0.0000
```

=====

Entry from the Alexandria database: a crystal of Sb2WAu relaxed with PBEsol (SCAN).

## Properties
Distance to the lowest polymorph of the same formula, kJ/mol of atoms: 46.79
Total moment, Bohr magnetons per cell: 0.00
DOS(E_F), states/eV per cell: 2.9
Crystal system: orthorhombic
Raw formation energy, eV/atom: 0.8965

The structure in POSCAR format:
```
Sb2WAu
1.0
-0.6076 -0.3599 -3.1000
1.4097 -4.4819 0.2440
-4.9863 -1.5056 1.1521
Sb W Au
2 1 1
Cartesian
0.0000 0.0000 0.0000
-2.7970 -0.9327 -0.9739
0.4010 -2.4209 -1.4280
-1.7883 -2.9937 0.6981
```

=====

Entry from the Alexandria database: a crystal of TmBRh3 relaxed with PBEsol (SCAN).

## Properties
Formation energy from the elements, meV/atom: -932
Total moment, Bohr magnetons per cell: 0.02
DOS(E_F), states/eV per cell: 3.2
Crystal system: cubic

The structure in POSCAR format:
```
TmBRh3
1.0
-0.4671 -3.1870 -2.5698
1.3237 -2.5651 2.9406
-3.8741 -0.4922 1.3146
Rh Tm B
3 1 1
Cartesian
-1.2752 -1.5286 2.1276
-2.1706 -1.8396 -0.6276
0.4283 -2.8761 0.1854
0.0000 0.0000 0.0000
-1.5088 -3.1221 0.8427
```

=====

Entry from the Alexandria database: a crystal of TeOs2Pb relaxed with PBEsol (SCAN).

## Properties
Distance to the lowest polymorph of the same formula, kJ/mol of atoms: 35.61
Total moment, Bohr magnetons per cell: 0.00
DOS(E_F), states/eV per cell: 4.6
Crystal system: orthorhombic
Raw formation energy, eV/atom: 1.3610

The structure in POSCAR format:
```
TeOs2Pb
1.0
-1.2321 2.8043 -0.5505
-1.5477 -1.6133 -4.7539
-2.6431 -2.0151 4.4469
Pb Os Te
1 2 1
Cartesian
-0.7738 -0.8066 -2.3769
-1.8560 -0.6533 0.8259
-3.5669 -0.1708 -1.6834
-0.6160 1.4021 -0.2753
```

=====

Entry from the Alexandria database: a crystal of CoAgRu2 relaxed with PBEsol (SCAN).

## Properties
Formation energy from the elements, meV/atom: 522
Total moment, Bohr magnetons per cell: 2.99
DOS(E_F), states/eV per cell: 3.9
Crystal system: tetragonal

The structure in POSCAR format:
```
CoAgRu2
1.0
3.7352 0.0000 0.0000
0.0000 3.7352 0.0000
-1.8676 -1.8676 3.7895
Ru Ag Co
2 1 1
Cartesian
0.0000 0.0000 0.0000
1.8676 0.0000 1.8947
1.8676 1.8676 0.0000
0.0000 1.8676 1.8947
```

=====

Entry from the Alexandria database: a crystal of ScCuNi relaxed with PBEsol (SCAN).

## Properties
Formation energy from the elements, meV/atom: -291
Total moment, Bohr magnetons per cell: 0.00
DOS(E_F), states/eV per cell: 2.3
Crystal system: tetragonal

The structure in POSCAR format:
```
ScCuNi
1.0
-2.5127 1.8086 -0.7529
-1.4688 -2.5495 -1.2224
0.3134 -0.4278 4.6679
Ni Sc Cu
1 1 1
Cartesian
-1.1369 -0.5411 2.4945
-2.5652 -0.6439 0.2729
-3.6340 -1.1525 2.6178
```

=====

Entry from the Alexandria database: a crystal of Ba2CaSi relaxed with PBEsol (SCAN).

## Properties
Distance to the lowest polymorph of the same formula, kJ/mol of atoms: 0.00
Total moment, Bohr magnetons per cell: 0.63
DOS(E_F), states/eV per cell: 2.6
Crystal system: orthorhombic
Raw formation energy, eV/atom: 0.0029

The structure in POSCAR format:
```
Ba2CaSi
1.0
4.6678 0.0000 0.0000
0.0000 5.2840 0.0000
-2.3339 -2.6420 5.6179
Si Ba Ca
1 2 1
Cartesian
0.0000 2.6420 0.0000
0.0000 0.0000 3.2072
2.3339 2.6420 2.4107
2.3339 0.0000 0.0000
```

=====

Entry from the Alexandria database: a crystal of KCuF3 relaxed with PBEsol (SCAN).

## Properties
Total moment, Bohr magnetons per cell: 1.00
DOS(E_F), states/eV per cell: 0.9
Crystal system: cubic
Raw formation energy, eV/atom: -2.3413

The structure in POSCAR format:
```
KCuF3
1.0
-3.1740 -1.9254 -1.4547
2.3536 -1.9391 -2.5686
0.5329 -2.9034 2.6802
Cu K F
1 1 3
Cartesian
0.0000 0.0000 0.0000
-0.1437 -3.3840 -0.6716
-1.5870 -0.9627 -0.7274
0.2664 -1.4517 1.3401
1.1768 -0.9696 -1.2843
```

=====

Entry from the Alexandria database: a crystal of LiCaSn relaxed with PBEsol (SCAN).

## Properties
Formation energy from the elements, meV/atom: -621
Total moment, Bohr magnetons per cell: 0.00
DOS(E_F), states/eV per cell: 4.3
Crystal system: hexagonal

The structure in POSCAR format:
```
LiCaSn
1.0
4.8606 0.0000 0.0000
-2.4303 4.2094 0.0000
0.0000 0.0000 10.6451
Sn Ca Li
3 3 3
Cartesian
0.0000 2.8063 1.5768
2.4303 1.4031 5.3225
0.0000 2.8063 9.0683
0.0000 0.0000 0.0000
0.0000 0.0000 7.1009
0.0000 0.0000 3.5442
0.0000 2.8063 5.3225
2.4303 1.4031 8.5514
2.4303 1.4031 2.0937
```

=====

Entry from the Alexandria database: a crystal of KSbMo2 relaxed with PBEsol (SCAN).

## Properties
Total moment, Bohr magnetons per cell: 0.00
DOS(E_F), states/eV per cell: 3.1
Crystal system: tetragonal
Raw formation energy, eV/atom: 1.3870

The structure in POSCAR format:
```
KSbMo2
1.0
4.1136 0.0000 0.0000
0.0000 4.1136 0.0000
-2.0568 -2.0568 4.5899
Mo K Sb
2 1 1
Cartesian
0.0000 2.0568 2.2950
2.0568 0.0000 2.2950
0.0000 0.0000 0.0000
2.0568 2.0568 0.0000
```

=====

Entry from the Alexandria database: a crystal of TcBi3Br relaxed with PBEsol (SCAN).

## Properties
Total moment, Bohr magnetons per cell: 3.69
DOS(E_F), states/eV per cell: 5.1
Crystal system: cubic
Raw formation energy, eV/atom: 1.6044

The structure in POSCAR format:
```
TcBi3Br
1.0
5.5145 0.0000 0.0000
0.0000 5.5145 0.0000
0.0000 0.0000 5.5145
Bi Tc Br
3 1 1
Cartesian
0.0000 0.0000 2.7573
2.7573 0.0000 0.0000
0.0000 2.7573 0.0000
2.7573 2.7573 2.7573
0.0000 0.0000 0.0000
```

=====

Entry from the Alexandria database: a crystal of Re3RuI relaxed with PBEsol (SCAN).

## Properties
Distance to the lowest polymorph of the same formula, kJ/mol of atoms: 0.00
Total moment, Bohr magnetons per cell: 2.51
DOS(E_F), states/eV per cell: 5.2
Crystal system: cubic
Raw formation energy, eV/atom: 2.4902

The structure in POSCAR format:
```
Re3RuI
1.0
4.6704 0.0000 0.0000
0.0000 4.6704 0.0000
0.0000 0.0000 4.6704
Re I Ru
3 1 1
Cartesian
2.3352 0.0000 0.0000
0.0000 2.3352 0.0000
0.0000 0.0000 2.3352
2.3352 2.3352 2.3352
0.0000 0.0000 0.0000
```

=====

Entry from the Alexandria database: a crystal of ScInHg relaxed with PBEsol (SCAN).

## Properties
Formation energy from the elements, meV/atom: -398
Distance to the lowest polymorph of the same formula, kJ/mol of atoms: 17.54
Total moment, Bohr magnetons per cell: 0.47
DOS(E_F), states/eV per cell: 1.4
Crystal system: tetragonal

The structure in POSCAR format:
```
ScInHg
1.0
-2.7775 -0.8142 1.5059
-0.4933 -2.3677 -2.1900
4.6743 -2.2871 3.8503
Sc Hg In
1 1 1
Cartesian
2.0568 -2.6247 2.3744
1.3673 -5.4228 3.1243
-0.6170 -2.8906 0.8336
```

=====

Entry from the Alexandria database: a crystal of CaY2Ge4O12 relaxed with PBEsol (SCAN).

## Properties
Total moment, Bohr magnetons per cell: 0.00
DOS(E_F), states/eV per cell: 0.0
Crystal system: orthorhombic
Raw formation energy, eV/atom: -2.6108

The structure in POSCAR format:
```
CaY2Ge4O12
1.0
5.0677 0.0000 0.0000
0.0000 9.9841 0.0105
0.0000 -0.0121 9.9841
Y O Ge Ca
4 24 8 2
Cartesian
2.5339 -0.0060 4.9921
2.5339 2.4930 2.4987
2.5339 4.9921 0.0053
2.5339 7.4790 7.4960
1.3098 8.2640 5.5923
4.3023 1.2891 8.6858
3.7579 5.5736 8.2766
1.3098 4.3984 1.7180
1.3098 6.6940 9.3996
3.7579 1.7080 4.4023
3.7792 0.6932 1.7548
0.7654 6.2872 3.6991
1.2885 3.2328 4.3002
4.3023 3.6848 6.2956
3.7579 9.3844 6.7153
1.2885 9.2788 8.2399
4.2202 6.2257 1.2417
3.7792 4.2928 3.2425
4.2202 8.7445 3.7662
3.7792 6.7392 5.6945
3.7579 3.2780 0.5950
0.8475 1.2276 6.2285
1.3098 0.5876 3.2793
1.2885 1.7532 0.6972
1.2885 5.6792 6.7521
0.8475 3.7464 8.7530
3.7792 8.2188 9.2975
0.7654 8.6829 1.3088
5.0475 7.4774 4.7993
0.0203 2.4946 5.1953
0.0203 0.1915 7.4932
0.0203 4.7824 7.4882
5.0475 9.7805 2.5015
5.0475 5.1896 2.5064
5.0475 7.4927 0.2085
0.0203 2.4793 9.7861
2.5339 4.9860 4.9973
2.5339 0.0000 0.0000
```